No. 1
Material: ZrCdSi2
Method: DFT, PBE-GGA
State: relaxed

Results
raw formation energy = -0.36 eV/f.u.
raw total energy = -20.67 eV for the cell shown
density = 5.5 g cm⁻³
symmetry = C2/m

a = 5.0577 Å, b = 5.0577 Å, c = 4.8748 Å
α = 107.51°, β = 107.51°, γ = 42.07°
With the nearest neighbours (Å) after each atom.
Fractional coordinates of all 4 atoms:
1 Zr 0.0000 0.0000 0.0000  6 Si 2.78-2.82, 4 Cd 3.04
2 Cd 0.5000 0.5000 0.5000  4 Zr 3.04, 8 Si 3.11-3.23
3 Si 0.2645 0.2645 0.8493  2 Si 2.41
4 Si 0.7355 0.7355 0.1507  2 Si 2.41



No. 2
Material: Pm6PrNdEr2
Method: DFT, PBE-GGA
State: relaxed

Results
raw total energy = -92.06 eV for the cell shown
energy relative to the elements = 0.115 eV/atom
density = 7.2 g cm⁻³
symmetry = C2/c

a = 8.9312 Å, b = 8.9312 Å, c = 9.6767 Å
α = 93.60°, β = 93.60°, γ = 116.65°
With the nearest neighbours (Å) after each atom.
Fractional coordinates of all 20 atoms:
1 Pm 0.0134 0.5597 0.1804  2 Pm 3.26-3.55, 1 Pr 3.50, 1 Er 3.51, 1 Nd 3.56
2 Pm 0.1078 0.7592 0.5569  7 Pm 3.45-3.82, 1 Er 3.52, 2 Nd 3.70-3.76
3 Pm 0.2408 0.8922 0.9431  7 Pm 3.45-3.82, 1 Er 3.52, 2 Nd 3.70-3.76
4 Pm 0.2954 0.5181 0.3823  3 Pm 3.26-3.45, 3 Er 3.37-3.51, 2 Pr 3.51-3.57
5 Pm 0.4403 0.9866 0.3196  2 Pm 3.26-3.55, 1 Pr 3.50, 1 Er 3.51, 1 Nd 3.56
6 Pm 0.4819 0.7046 0.1177  3 Pm 3.26-3.45, 3 Er 3.37-3.51, 2 Pr 3.51-3.57
7 Pm 0.5181 0.2954 0.8823  3 Pm 3.26-3.45, 3 Er 3.37-3.51, 2 Pr 3.51-3.57
8 Pm 0.5597 0.0134 0.6804  2 Pm 3.26-3.55, 1 Pr 3.50, 1 Er 3.51, 1 Nd 3.56
9 Pm 0.7046 0.4819 0.6177  3 Pm 3.26-3.45, 3 Er 3.37-3.51, 2 Pr 3.51-3.57
10 Pm 0.7592 0.1078 0.0569  7 Pm 3.45-3.82, 1 Er 3.52, 2 Nd 3.70-3.76
11 Pm 0.8922 0.2408 0.4431  7 Pm 3.45-3.82, 1 Er 3.52, 2 Nd 3.70-3.76
12 Pm 0.9866 0.4403 0.8196  2 Pm 3.26-3.55, 1 Pr 3.50, 1 Er 3.51, 1 Nd 3.56
13 Pr 0.4071 0.5929 0.7500  6 Pm 3.50-3.57, 2 Er 3.58
14 Pr 0.5929 0.4071 0.2500  6 Pm 3.50-3.57, 2 Er 3.58
15 Nd 0.0345 0.9655 0.2500  4 Er 3.43-3.50, 6 Pm 3.56-3.76
16 Nd 0.9655 0.0345 0.7500  4 Er 3.43-3.50, 6 Pm 3.56-3.76
17 Er 0.1993 0.2955 0.0503  6 Pm 3.37-3.65, 2 Nd 3.43-3.50, 1 Pr 3.58
18 Er 0.2955 0.1993 0.5503  6 Pm 3.37-3.65, 2 Nd 3.43-3.50, 1 Pr 3.58
19 Er 0.7045 0.8007 0.4497  6 Pm 3.37-3.65, 2 Nd 3.43-3.50, 1 Pr 3.58
20 Er 0.8007 0.7045 0.9497  6 Pm 3.37-3.65, 2 Nd 3.43-3.50, 1 Pr 3.58



No. 3
Material: DyPuPdAu
Method: DFT, PBE-GGA
State: relaxed

Results
raw total energy = -29.75 eV for the cell shown
energy relative to the elements = -0.587 eV/atom
density = 12.9 g cm⁻³
symmetry = F-43m

a = 5.0559 Å, b = 5.0559 Å, c = 5.0559 Å
α = 60.00°, β = 60.00°, γ = 60.00°
With the nearest neighbours (Å) after each atom.
Fractional coordinates of all 4 atoms:
1 Dy 0.0000 0.0000 0.0000  4 Pd 3.10, 4 Au 3.10
2 Pu 0.5000 0.5000 0.5000  4 Pd 3.10, 4 Au 3.10
3 Pd 0.7500 0.7500 0.7500  4 Pu 3.10, 4 Dy 3.10
4 Au 0.2500 0.2500 0.2500  4 Pu 3.10, 4 Dy 3.10



No. 4
Material: La2Pr2Tm
Method: DFT, PBE-GGA
State: relaxed

Results
raw total energy = -45.21 eV for the cell shown
energy relative to the elements = 0.256 eV/atom
density = 6.5 g cm⁻³
symmetry = Cmcm
relative energy among the computed polymorphs = 1.13 eV/f.u.

a = 8.8750 Å, b = 8.8750 Å, c = 6.4504 Å
α = 90.00°, β = 90.00°, γ = 133.00°
With the nearest neighbours (Å) after each atom.
Fractional coordinates of all 10 atoms:
1 La 0.0671 0.4007 0.2500  1 Pr 3.23, 1 La 3.31, 2 Tm 3.57
2 La 0.4007 0.0671 0.7500  1 Pr 3.23, 1 La 3.31, 2 Tm 3.57
3 La 0.5993 0.9329 0.2500  1 Pr 3.23, 1 La 3.31, 2 Tm 3.57
4 La 0.9329 0.5993 0.7500  1 Pr 3.23, 1 La 3.31, 2 Tm 3.57
5 Pr 0.1722 0.8278 0.2500  2 La 3.23, 2 Tm 3.23
6 Pr 0.4091 0.5909 0.7500  2 Pr 3.78, 4 La 3.93, 4 Tm 4.16
7 Pr 0.5909 0.4091 0.2500  2 Pr 3.78, 4 La 3.93, 4 Tm 4.16
8 Pr 0.8278 0.1722 0.7500  2 La 3.23, 2 Tm 3.23
9 Tm 0.0000 0.0000 0.0000  2 Tm 3.23, 2 Pr 3.23, 4 La 3.57
10 Tm 0.0000 0.0000 0.5000  2 Tm 3.23, 2 Pr 3.23, 4 La 3.57



No. 5
Material: LaOs4
Method: DFT, PBE-GGA
State: relaxed

Results
raw total energy = -37.52 eV for the cell shown
energy relative to the elements = 2.465 eV/atom
density = 15.0 g cm⁻³
symmetry = Im-3m
relative energy among the computed polymorphs = 11.47 eV/f.u.

a = 5.0625 Å, b = 5.0625 Å, c = 5.0625 Å
α = 109.47°, β = 109.47°, γ = 109.47°
With the nearest neighbours (Å) after each atom.
Fractional coordinates of all 5 atoms:
1 La 0.0000 0.0000 0.0000  8 Os 2.53
2 Os 0.0000 0.0000 0.5000  2 La 2.53
3 Os 0.0000 0.5000 0.0000  2 La 2.53
4 Os 0.5000 0.0000 0.0000  2 La 2.53
5 Os 0.5000 0.5000 0.5000  2 La 2.53



No. 6
Material: K2ErPaO5
Method: DFT, PBE-GGA
State: relaxed

Results
raw formation energy = -23.62 eV/f.u.
raw total energy = -64.67 eV for the cell shown
density = 5.8 g cm⁻³
symmetry = P4/mmm

a = 4.2509 Å, b = 4.2509 Å, c = 8.8097 Å
α = 90.00°, β = 90.00°, γ = 90.00°
With the nearest neighbours (Å) after each atom.
Fractional coordinates of all 9 atoms:
1 K 0.0000 0.0000 0.2207  1 O 2.46
2 K 0.0000 0.0000 0.7793  1 O 2.46
3 Er 0.5000 0.5000 0.5000  2 O 2.16
4 Pa 0.5000 0.5000 0.0000  6 O 2.13-2.25
5 O 0.0000 0.0000 0.5000  2 K 2.46
6 O 0.0000 0.5000 0.0000  2 Pa 2.13
7 O 0.5000 0.0000 0.0000  2 Pa 2.13
8 O 0.5000 0.5000 0.2553  1 Er 2.16, 1 Pa 2.25
9 O 0.5000 0.5000 0.7447  1 Er 2.16, 1 Pa 2.25



No. 7
Material: Tl2SbPb5
Method: DFT, PBE-GGA
State: relaxed

Results
raw formation energy = 2.40 eV/f.u.
raw total energy = -25.00 eV for the cell shown
density = 8.2 g cm⁻³
symmetry = P4/mmm

a = 7.3182 Å, b = 7.3182 Å, c = 5.8942 Å
α = 90.00°, β = 90.00°, γ = 90.00°
With the nearest neighbours (Å) after each atom.
Fractional coordinates of all 8 atoms:
1 Tl 0.0000 0.5000 0.0000  10 Pb 3.66-3.94
2 Tl 0.5000 0.0000 0.0000  10 Pb 3.66-3.94
3 Sb 0.0000 0.0000 0.5000  6 Pb 2.95-2.99
4 Pb 0.0000 0.0000 0.0000  2 Sb 2.95
5 Pb 0.2889 0.2889 0.5000  1 Sb 2.99, 2 Pb 3.09
6 Pb 0.2889 0.7111 0.5000  1 Sb 2.99, 2 Pb 3.09
7 Pb 0.7111 0.2889 0.5000  1 Sb 2.99, 2 Pb 3.09
8 Pb 0.7111 0.7111 0.5000  1 Sb 2.99, 2 Pb 3.09



No. 8
Material: TbRe3Si2
Method: DFT, PBE-GGA
State: relaxed

Results
raw formation energy = -0.48 eV/f.u.
raw total energy = -106.60 eV for the cell shown
density = 12.8 g cm⁻³
symmetry = Immm

a = 7.6814 Å, b = 7.6814 Å, c = 7.6814 Å
α = 149.22°, β = 118.29°, γ = 70.55°
With the nearest neighbours (Å) after each atom.
Fractional coordinates of all 12 atoms:
1 Tb 0.1267 0.1267 0.0000  2 Re 2.82, 6 Si 2.99-3.11
2 Tb 0.8733 0.8733 0.0000  2 Re 2.82, 6 Si 2.99-3.11
3 Re 0.1049 0.3110 0.7939  4 Si 2.51-2.79, 2 Re 2.64
4 Re 0.3484 0.0000 0.3484  4 Si 2.39-2.63, 1 Re 2.39
5 Re 0.4829 0.6890 0.7939  4 Si 2.51-2.79, 2 Re 2.64
6 Re 0.5171 0.3110 0.2061  4 Si 2.51-2.79, 2 Re 2.64
7 Re 0.6516 0.0000 0.6516  4 Si 2.39-2.63, 1 Re 2.39
8 Re 0.8951 0.6890 0.2061  4 Si 2.51-2.79, 2 Re 2.64
9 Si 0.1908 0.5000 0.6908  4 Re 2.39-2.51
10 Si 0.3136 0.8136 0.5000  8 Re 2.61-2.79
11 Si 0.6864 0.1864 0.5000  8 Re 2.61-2.79
12 Si 0.8092 0.5000 0.3092  4 Re 2.39-2.51



| no. | magnetization (μB/atom) |
| --- | --- |
| 1 | 0.000 |
| 2 | 0.000 |
| 3 | 1.428 |
| 4 | 0.000 |
| 5 | 0.000 |
| 6 | 0.007 |
| 7 | 0.000 |
| 8 | 0.000 |